This record from Alexandria describes an optimized crystal structure of YHo4Sc6. The functional is PBE-GGA.

The calculation puts the mass density at 5.3 g/cm³. For the formation energy, the calculation gives 0.34 eV/atom. The calculation puts the volume at 318 Å³/cell. As for the space group: P-6m2, No. 187.

Lattice parameters (Å, degrees): 5.0650 8.5158 8.5158 120.00 90.00 90.00
Last column: nearest neighbours and their distance in Å.
Fractional coordinates of all 11 atoms:
Y  0.0000  0.0000  0.0000  6 Ho 3.85, 12 Sc 4.05-4.30
Ho  0.5000  0.8033  0.6067  6 Sc 3.04-3.20
Ho  0.5000  0.3933  0.1967  6 Sc 3.04-3.20
Ho  0.5000  0.8033  0.1967  6 Sc 3.04-3.20
Ho  0.0000  0.3333  0.6667  9 Sc 3.03-3.08
Sc  0.0000  0.5387  0.0773  5 Ho 3.03-3.20, 2 Sc 3.27
Sc  0.5000  0.5716  0.7858  4 Ho 3.04-3.08, 2 Sc 3.04
Sc  0.0000  0.5387  0.4613  5 Ho 3.03-3.20, 2 Sc 3.27
Sc  0.0000  0.9227  0.4613  5 Ho 3.03-3.20, 2 Sc 3.27
Sc  0.5000  0.2142  0.7858  4 Ho 3.04-3.08, 2 Sc 3.04
Sc  0.5000  0.2142  0.4284  4 Ho 3.04-3.08, 2 Sc 3.04